(1)
# Tm6AsC2Se3 | Alexandria | GGA-PBE | relaxed
# * DOS(E_F): 5.1 states/eV/cell
# * E_tot: -0.46839 Ry per atom
# * size of the total moment: 0.0 μB per cell
# * crystal system: monoclinic
data_Tm6AsC2Se3
_chemical_formula_sum 'Tm12 As2 C4 Se6'
_space_group_name_H-M_alt 'C 1 2/m 1'
_space_group_IT_number 12
_cell_length_a 17.0545
_cell_length_b 3.8107
_cell_length_c 7.9146
_cell_angle_alpha 90.00
_cell_angle_beta 104.93
_cell_angle_gamma 90.00
loop_
_space_group_symop_operation_xyz
'x,y,z'
'-x,-y,-z'
'-x,y,-z'
'x,-y,z'
'x+1/2,y+1/2,z'
'-x+1/2,-y+1/2,-z'
'-x+1/2,y+1/2,-z'
'x+1/2,-y+1/2,z'
loop_
_atom_site_label
_atom_site_type_symbol
_atom_site_fract_x
_atom_site_fract_y
_atom_site_fract_z
Tm1 Tm 0.0212 0.0000 0.2581
Tm2 Tm 0.1704 0.5000 0.1260
Tm3 Tm 0.1793 0.5000 0.5588
As1 As 0.0000 0.5000 0.0000
C1 C 0.1703 0.0000 0.3387
Se1 Se 0.0000 0.5000 0.5000
Se2 Se 0.1616 0.0000 0.8324



(2)
# Ba2MnTlSb | Alexandria | GGA-PBE | relaxed
# * DOS(E_F): 4.0 states/eV/cell
# * E_tot: -0.27649 Ry per atom
# * size of the total moment: 3.4 μB per cell
# * crystal system: tetragonal
data_Ba2MnTlSb
_chemical_formula_sum 'Ba2 Mn1 Tl1 Sb1'
_space_group_name_H-M_alt 'P 4/m m m'
_space_group_IT_number 123
_space_group_name_Hall '-P 4 2'
_cell_length_a 6.4967
_cell_length_b 6.4967
_cell_length_c 5.1049
_cell_angle_alpha 90.00
_cell_angle_beta 90.00
_cell_angle_gamma 90.00
loop_
_atom_site_label
_atom_site_type_symbol
_atom_site_fract_x
_atom_site_fract_y
_atom_site_fract_z
Ba1 Ba 0.0000 0.5000 0.0000
Mn1 Mn 0.0000 0.0000 0.5000
Tl1 Tl 0.0000 0.0000 0.0000
Sb1 Sb 0.5000 0.5000 0.5000



(3)
# SiSb2F2 | Alexandria | GGA-PBE | relaxed
# * DOS(E_F): 4.2 states/eV/cell
# * E_tot: -0.30804 Ry per atom
# * size of the total moment: 0.0 μB per cell
# * crystal system: tetragonal
data_SiSb2F2
_chemical_formula_sum 'Si2 Sb4 F4'
_space_group_name_H-M_alt 'I 4/m m m'
_space_group_IT_number 139
_space_group_name_Hall '-I 4 2'
_cell_length_a 3.6269
_cell_length_b 3.6269
_cell_length_c 13.4153
_cell_angle_alpha 90.00
_cell_angle_beta 90.00
_cell_angle_gamma 90.00
loop_
_atom_site_label
_atom_site_type_symbol
_atom_site_fract_x
_atom_site_fract_y
_atom_site_fract_z
Si1 Si 0.0000 0.0000 0.0000
Sb1 Sb 0.0000 0.0000 0.3791
F1 F 0.0000 0.5000 0.2500



(4)
# ScI2Br | Alexandria | GGA-PBE | relaxed
# * DOS(E_F): 0.0 states/eV/cell
# * E_tot: -0.24525 Ry per atom
# * size of the total moment: 0.0 μB per cell
# * crystal system: cubic
data_ScI2Br
_chemical_formula_sum 'Sc4 I8 Br4'
_space_group_name_H-M_alt 'F m -3 m'
_space_group_IT_number 225
_space_group_name_Hall '-F 4 2 3'
_cell_length_a 7.6564
_cell_length_b 7.6564
_cell_length_c 7.6564
_cell_angle_alpha 90.00
_cell_angle_beta 90.00
_cell_angle_gamma 90.00
loop_
_atom_site_label
_atom_site_type_symbol
_atom_site_fract_x
_atom_site_fract_y
_atom_site_fract_z
Sc1 Sc 0.0000 0.0000 0.0000
I1 I 0.2500 0.2500 0.2500
Br1 Br 0.0000 0.0000 0.5000